1.
Density functional theory data (PBE-GGA) for a relaxed MnTlRh2 crystal.

## Properties
* energy relative to the elements: 0.1073 eV per atom

a = 5.144 Å, b = 5.144 Å, c = 4.569 Å
α = 71.88°, β = 71.88°, γ = 35.12°
Site moments in Bohr magnetons follow the coordinates.
Element x y z (fractional)
Mn: 0.740 0.740 0.811  3.81
Rh: 0.002 0.002 0.945  0.28
Rh: 0.255 0.255 0.294  0.31
Tl: 0.504 0.504 0.450  -0.03



2.
Density functional theory data (PBE-GGA) for a relaxed InSbSe crystal.

## Properties
* formation energy from raw total energies: -0.296 eV per atom

a = 7.603 Å, b = 4.179 Å, c = 13.045 Å
α = 90.00°, β = 116.07°, γ = 90.00°
Element x y z (fractional)
In: 0.517 0.000 0.758
In: 0.517 0.500 0.258
In: 0.867 0.000 0.533
In: 0.867 0.500 0.033
Sb: 0.900 0.000 0.765
Sb: 0.900 0.500 0.265
Sb: 0.121 0.000 0.420
Sb: 0.121 0.500 0.920
Se: 0.292 0.000 0.166
Se: 0.292 0.500 0.666
Se: 0.612 0.000 0.981
Se: 0.612 0.500 0.481



3.
Density functional theory data (PBE-GGA) for a relaxed YTa2In crystal.

## Properties
* energy relative to the elements: 0.2357 eV per atom

a = 4.941 Å, b = 4.941 Å, c = 4.941 Å
α = 120.11°, β = 120.11°, γ = 89.81°
Element x y z (fractional)
In: 0.250 0.750 0.500
Ta: 0.000 0.000 0.000
Ta: 0.750 0.250 0.500
Y: 0.500 0.500 0.000



4.
Density functional theory data (PBE-GGA) for a relaxed AlRe3 crystal.

## Properties
* energy relative to the elements: -0.0995 eV per atom

a = 2.811 Å, b = 2.811 Å, c = 8.686 Å
α = 90.00°, β = 90.00°, γ = 120.00°
Element x y z (fractional)
Re: 0.000 0.000 0.500
Re: 0.667 0.333 0.250
Re: 0.667 0.333 0.750
Al: 0.000 0.000 0.000



5.
Density functional theory data (PBE-GGA) for a relaxed BeTl2P crystal.

## Properties
* energy relative to the elements: 0.7163 eV per atom

a = 4.057 Å, b = 5.830 Å, c = 3.785 Å
α = 90.00°, β = 90.00°, γ = 90.00°
Element x y z (fractional)
P: 0.000 0.500 0.500
Tl: 0.000 0.000 0.000
Tl: 0.500 0.500 0.000
Be: 0.500 0.000 0.500



6.
Density functional theory data (PBE-GGA) for a relaxed BaRhPb2 crystal.

## Properties
* energy relative to the elements: -0.3603 eV per atom

a = 6.482 Å, b = 8.170 Å, c = 17.262 Å
α = 90.00°, β = 90.00°, γ = 90.00°
Element x y z (fractional)
Ba: 0.483 0.250 0.139
Ba: 0.983 0.750 0.361
Ba: 0.517 0.750 0.861
Ba: 0.017 0.250 0.639
Ba: 0.784 0.250 0.395
Ba: 0.284 0.750 0.105
Ba: 0.216 0.750 0.605
Ba: 0.716 0.250 0.895
Rh: 0.267 0.250 0.322
Rh: 0.767 0.750 0.178
Rh: 0.733 0.750 0.678
Rh: 0.233 0.250 0.822
Rh: 0.005 0.250 0.075
Rh: 0.505 0.750 0.425
Rh: 0.995 0.750 0.925
Rh: 0.495 0.250 0.575
Pb: 0.991 0.052 0.213
Pb: 0.491 0.948 0.287
Pb: 0.009 0.552 0.787
Pb: 0.509 0.448 0.713
Pb: 0.009 0.948 0.787
Pb: 0.509 0.052 0.713
Pb: 0.991 0.448 0.213
Pb: 0.491 0.552 0.287
Pb: 0.783 0.552 0.041
Pb: 0.283 0.448 0.459
Pb: 0.217 0.052 0.959
Pb: 0.717 0.948 0.541
Pb: 0.217 0.448 0.959
Pb: 0.717 0.552 0.541
Pb: 0.783 0.948 0.041
Pb: 0.283 0.052 0.459



7.
Density functional theory data (PBE-GGA) for a relaxed Ac2GaIr3 crystal.

## Properties
* energy relative to the elements: -0.1916 eV per atom

a = 4.369 Å, b = 5.672 Å, c = 6.733 Å
α = 114.91°, β = 108.93°, γ = 90.00°
Element x y z (fractional)
Ac: 0.680 0.180 0.361
Ac: 0.320 0.820 0.639
Ga: 0.000 0.500 0.000
Ir: 0.381 0.381 0.762
Ir: 0.000 0.000 0.000
Ir: 0.619 0.619 0.238



8.
Density functional theory data (PBE-GGA) for a relaxed TbUCrC3 crystal.

## Properties
* energy relative to the elements: -0.1360 eV per atom

a = 3.773 Å, b = 6.816 Å, c = 6.795 Å
α = 104.75°, β = 90.00°, γ = 106.07°
Element x y z (fractional)
Tb: 0.357 0.715 0.926
Tb: 0.643 0.285 0.074
U: 0.649 0.299 0.576
U: 0.351 0.701 0.424
Cr: 0.997 0.994 0.264
Cr: 0.003 0.006 0.736
C: 0.842 0.685 0.197
C: 0.833 0.666 0.636
C: 0.504 0.008 0.272
C: 0.167 0.334 0.364
C: 0.496 0.992 0.728
C: 0.158 0.315 0.803